First-principles (PBE) data for crystalline ZrNbF at its relaxed geometry, as listed in the Open Quantum Materials Database.

a b c (Å): 5.574 5.574 6.035
angles (deg): 90.00 90.00 148.28
Fractional coordinates of all 6 atoms:
F 0.642 0.358 0.352
F 0.358 0.642 0.852
Nb 0.982 0.018 0.309
Nb 0.018 0.982 0.809
Zr 0.725 0.275 0.020
Zr 0.275 0.725 0.520

First-principles (PBE) data for crystalline NdF3 at its relaxed geometry, as listed in the Open Quantum Materials Database.

a b c (Å): 6.930 6.930 7.121
angles (deg): 90.00 90.00 120.00
Fractional coordinates of all 24 atoms:
F 0.722 0.000 0.086
F 0.000 0.722 0.086
F 0.278 0.278 0.086
F 0.667 0.333 0.201
F 0.333 0.667 0.201
F 0.000 0.000 0.332
F 0.378 0.378 0.422
F 0.622 0.000 0.422
F 0.000 0.622 0.422
F 0.278 0.000 0.586
F 0.000 0.278 0.586
F 0.722 0.722 0.586
F 0.667 0.333 0.701
F 0.333 0.667 0.701
F 0.000 0.000 0.832
F 0.622 0.622 0.922
F 0.378 0.000 0.922
F 0.000 0.378 0.922
Nd 0.327 0.000 0.254
Nd 0.000 0.327 0.254
Nd 0.673 0.673 0.254
Nd 0.673 0.000 0.754
Nd 0.000 0.673 0.754
Nd 0.327 0.327 0.754

First-principles (PBE) data for crystalline NdF3 at its relaxed geometry, as listed in the Open Quantum Materials Database.

a b c (Å): 4.053 5.159 4.329
angles (deg): 90.00 90.00 90.00
Fractional coordinates of all 8 atoms:
F 0.000 0.000 0.134
F 0.500 0.246 0.320
F 0.500 0.754 0.320
F 0.000 0.254 0.680
F 0.000 0.746 0.680
F 0.500 0.500 0.866
Nd 0.000 0.500 0.211
Nd 0.500 0.000 0.789

First-principles (PBE) data for crystalline NdF2 at its relaxed geometry, as listed in the Open Quantum Materials Database.

a b c (Å): 7.053 7.053 7.053
angles (deg): 60.00 60.00 60.00
Fractional coordinates of all 6 atoms:
F 0.375 0.375 0.375
F 0.875 0.375 0.375
F 0.375 0.875 0.375
F 0.375 0.375 0.875
Nd 0.250 0.250 0.250
Nd 0.500 0.500 0.500

First-principles (PBE) data for crystalline NdF3 at its relaxed geometry, as listed in the Open Quantum Materials Database.

a b c (Å): 4.028 4.028 7.096
angles (deg): 90.00 90.00 120.31
Fractional coordinates of all 8 atoms:
F 0.167 0.833 0.080
F 0.500 0.500 0.250
F 0.167 0.833 0.420
F 0.833 0.167 0.580
F 0.500 0.500 0.750
F 0.833 0.167 0.920
Nd 0.832 0.168 0.250
Nd 0.168 0.832 0.750

First-principles (PBE) data for crystalline NdF2 at its relaxed geometry, as listed in the Open Quantum Materials Database.

a b c (Å): 4.222 4.978 7.740
angles (deg): 90.00 90.00 90.00
Fractional coordinates of all 12 atoms:
F 0.579 0.062 0.056
F 0.093 0.793 0.190
F 0.907 0.293 0.310
F 0.421 0.562 0.444
F 0.921 0.938 0.556
F 0.407 0.207 0.690
F 0.593 0.707 0.810
F 0.079 0.438 0.944
Nd 0.600 0.559 0.111
Nd 0.400 0.059 0.389
Nd 0.900 0.441 0.611
Nd 0.100 0.941 0.889

First-principles (PBE) data for crystalline NdF2 at its relaxed geometry, as listed in the Open Quantum Materials Database.

a b c (Å): 6.755 3.175 7.888
angles (deg): 90.00 90.00 90.00
Fractional coordinates of all 12 atoms:
F 0.105 0.750 0.108
F 0.444 0.250 0.148
F 0.944 0.250 0.352
F 0.605 0.750 0.392
F 0.395 0.250 0.608
F 0.056 0.750 0.648
F 0.556 0.750 0.852
F 0.895 0.250 0.892
Nd 0.744 0.750 0.111
Nd 0.244 0.750 0.389
Nd 0.756 0.250 0.611
Nd 0.256 0.250 0.889

First-principles (PBE) data for crystalline NdF3 at its relaxed geometry, as listed in the Open Quantum Materials Database.

a b c (Å): 5.863 5.863 5.863
angles (deg): 53.65 53.65 53.65
Fractional coordinates of all 8 atoms:
F 0.452 0.750 0.048
F 0.952 0.548 0.250
F 0.750 0.048 0.452
F 0.250 0.952 0.548
F 0.048 0.452 0.750
F 0.548 0.250 0.952
Nd 0.000 0.000 0.000
Nd 0.500 0.500 0.500

First-principles (PBE) data for crystalline NdF3 at its relaxed geometry, as listed in the Open Quantum Materials Database.

a b c (Å): 6.939 6.939 7.124
angles (deg): 90.00 90.00 120.00
Fractional coordinates of all 24 atoms:
F 0.310 0.368 0.081
F 0.632 0.942 0.081
F 0.058 0.690 0.082
F 0.667 0.333 0.177
F 0.000 0.000 0.250
F 0.333 0.667 0.323
F 0.942 0.632 0.418
F 0.368 0.310 0.419
F 0.690 0.058 0.419
F 0.310 0.942 0.581
F 0.632 0.690 0.581
F 0.058 0.368 0.582
F 0.667 0.333 0.677
F 0.000 0.000 0.750
F 0.333 0.667 0.823
F 0.942 0.310 0.918
F 0.368 0.058 0.919
F 0.690 0.632 0.919
Nd 0.343 0.000 0.250
Nd 0.000 0.343 0.250
Nd 0.657 0.657 0.250
Nd 0.343 0.343 0.750
Nd 0.000 0.657 0.750
Nd 0.657 0.000 0.750

First-principles (PBE) data for crystalline NdF3 at its relaxed geometry, as listed in the Open Quantum Materials Database.

a b c (Å): 6.646 6.646 4.019
angles (deg): 106.71 106.71 119.64
Fractional coordinates of all 8 atoms:
F 0.241 0.241 0.247
F 0.942 0.590 0.270
F 0.590 0.942 0.270
F 0.410 0.058 0.730
F 0.058 0.410 0.730
F 0.759 0.759 0.753
Nd 0.840 0.160 0.000
Nd 0.160 0.840 0.000

First-principles (PBE) data for crystalline NdF2 at its relaxed geometry, as listed in the Open Quantum Materials Database.

a b c (Å): 5.529 5.529 3.698
angles (deg): 90.00 90.00 90.00
Last column: magnetic moment on the atom in μB.
Fractional coordinates of all 6 atoms:
F 0.297 0.297 0.000  0.04
F 0.703 0.703 0.000  0.04
F 0.797 0.203 0.500  0.03
F 0.203 0.797 0.500  0.03
Nd 0.000 0.000 0.000  0.41
Nd 0.500 0.500 0.500  0.41

First-principles (PBE) data for crystalline NdF3 at its relaxed geometry, as listed in the Open Quantum Materials Database.

a b c (Å): 5.132 5.132 8.104
angles (deg): 90.00 90.00 120.00
Fractional coordinates of all 12 atoms:
F 0.324 0.357 0.172
F 0.034 0.676 0.172
F 0.643 0.966 0.172
F 0.303 0.000 0.500
F 0.000 0.303 0.500
F 0.697 0.697 0.500
F 0.677 0.034 0.828
F 0.357 0.324 0.828
F 0.966 0.643 0.828
Nd 0.000 0.000 0.000
Nd 0.667 0.333 0.334
Nd 0.333 0.667 0.666

First-principles (PBE) data for crystalline NdF3 at its relaxed geometry, as listed in the Open Quantum Materials Database.

a b c (Å): 5.887 5.887 3.725
angles (deg): 90.00 90.00 120.00
Fractional coordinates of all 8 atoms:
F 0.696 0.089 0.250
F 0.393 0.304 0.250
F 0.911 0.607 0.250
F 0.089 0.393 0.750
F 0.607 0.696 0.750
F 0.304 0.911 0.750
Nd 0.333 0.667 0.250
Nd 0.667 0.333 0.750

First-principles (PBE) data for crystalline NdF3 at its relaxed geometry, as listed in the Open Quantum Materials Database.

a b c (Å): 6.459 4.532 6.953
angles (deg): 90.00 90.00 90.00
Fractional coordinates of all 16 atoms:
F 0.483 0.578 0.187
F 0.983 0.922 0.187
F 0.330 0.115 0.373
F 0.830 0.385 0.373
F 0.171 0.615 0.499
F 0.671 0.885 0.499
F 0.017 0.078 0.687
F 0.517 0.422 0.687
F 0.170 0.615 0.873
F 0.670 0.885 0.873
F 0.329 0.115 0.999
F 0.829 0.385 0.999
Nd 0.631 0.059 0.186
Nd 0.131 0.441 0.186
Nd 0.869 0.559 0.686
Nd 0.369 0.941 0.686

First-principles (PBE) data for crystalline NdF2 at its relaxed geometry, as listed in the Open Quantum Materials Database.

a b c (Å): 4.779 4.779 4.779
angles (deg): 60.00 60.00 60.00
Fractional coordinates of all 6 atoms:
F 0.625 0.625 0.125
F 0.625 0.125 0.625
F 0.125 0.625 0.625
F 0.625 0.625 0.625
Nd 0.000 0.000 0.000
Nd 0.250 0.250 0.250

First-principles (PBE) data for crystalline NdOF at its relaxed geometry, as listed in the Open Quantum Materials Database.

a b c (Å): 6.236 3.791 6.930
angles (deg): 90.00 90.00 90.00
Fractional coordinates of all 12 atoms:
F 0.978 0.750 0.164
F 0.478 0.750 0.336
F 0.522 0.250 0.664
F 0.022 0.250 0.836
Nd 0.276 0.250 0.101
Nd 0.776 0.250 0.399
Nd 0.224 0.750 0.601
Nd 0.724 0.750 0.899
O 0.651 0.250 0.080
O 0.151 0.250 0.420
O 0.849 0.750 0.580
O 0.349 0.750 0.920

First-principles (PBE) data for crystalline Nd4O3F4 at its relaxed geometry, as listed in the Open Quantum Materials Database.

a b c (Å): 3.682 7.432 6.136
angles (deg): 90.00 90.00 90.00
Fractional coordinates of all 11 atoms:
F 0.000 0.231 0.383
F 0.000 0.769 0.383
F 0.500 0.000 0.615
F 0.500 0.500 0.622
Nd 0.500 0.000 0.213
Nd 0.500 0.500 0.223
Nd 0.000 0.252 0.783
Nd 0.000 0.748 0.783
O 0.500 0.264 0.000
O 0.500 0.736 0.000
O 0.000 0.000 0.995

First-principles (PBE) data for crystalline NdSeO3F at its relaxed geometry, as listed in the Open Quantum Materials Database.

a b c (Å): 4.272 6.436 6.903
angles (deg): 98.97 96.16 93.85
Fractional coordinates of all 12 atoms:
F 0.959 0.275 0.295
F 0.041 0.725 0.705
Nd 0.452 0.340 0.219
Nd 0.548 0.660 0.781
O 0.764 0.641 0.112
O 0.426 0.967 0.192
O 0.486 0.684 0.428
O 0.514 0.316 0.572
O 0.574 0.033 0.808
O 0.236 0.359 0.888
Se 0.714 0.842 0.306
Se 0.286 0.158 0.694

First-principles (PBE) data for crystalline NdPdF3 at its relaxed geometry, as listed in the Open Quantum Materials Database.

a b c (Å): 6.681 6.681 5.024
angles (deg): 90.00 90.00 144.09
Last column: magnetic moment on the atom in μB.
Fractional coordinates of all 10 atoms:
F 0.695 0.305 0.011  0.00
F 0.912 0.088 0.250  0.01
F 0.695 0.305 0.489  0.00
F 0.305 0.695 0.511  0.00
F 0.088 0.912 0.750  0.01
F 0.305 0.695 0.989  0.00
Nd 0.153 0.847 0.250  0.00
Nd 0.847 0.153 0.750  0.00
Pd 0.477 0.523 0.250  0.07
Pd 0.523 0.477 0.750  0.07

First-principles (PBE) data for crystalline PrNdS2F2 at its relaxed geometry, as listed in the Open Quantum Materials Database.

a b c (Å): 3.915 3.915 6.948
angles (deg): 90.00 90.00 90.00
Fractional coordinates of all 6 atoms:
F 0.500 0.000 0.999
F 0.000 0.500 0.999
Nd 0.000 0.000 0.770
Pr 0.500 0.500 0.230
S 0.000 0.000 0.357
S 0.500 0.500 0.646

First-principles (PBE) data for crystalline PrNdSe2F2 at its relaxed geometry, as listed in the Open Quantum Materials Database.

a b c (Å): 4.006 4.006 7.195
angles (deg): 90.00 90.00 90.00
Fractional coordinates of all 6 atoms:
F 0.500 0.000 0.001
F 0.000 0.500 0.001
Nd 0.000 0.000 0.218
Pr 0.500 0.500 0.782
Se 0.500 0.500 0.358
Se 0.000 0.000 0.641

First-principles (PBE) data for crystalline PrNdTe2F2 at its relaxed geometry, as listed in the Open Quantum Materials Database.

a b c (Å): 4.185 4.185 7.527
angles (deg): 90.00 90.00 90.00
Fractional coordinates of all 6 atoms:
F 0.500 0.000 0.001
F 0.000 0.500 0.001
Nd 0.000 0.000 0.199
Pr 0.500 0.500 0.801
Te 0.500 0.500 0.360
Te 0.000 0.000 0.637

no.,electronic total energy (eV for the cell shown)
1,-45.8
2,-160.2
3,-52.2
4,-34.8
5,-53.2
6,-72.8
7,-73.6
8,-51.5
9,-160.2
10,-52.6
11,-36.2
12,-77.6
13,-53.3
14,-106.6
15,-28.7
16,-91.1
17,-79.3
18,-77.7
19,-57.0
20,-39.5
21,-37.6
22,-35.1